(1)
## DyZnRh2 (PBE-GGA)

Data for crystalline DyZnRh2 at its relaxed geometry.

abc: 6.450 6.450 6.450
angles: 90.00 90.00 90.00
Space group Fm-3m (No. 225)
Inequivalent atoms, fractional coordinates:
Dy: 0.000 0.000 0.000
Zn: 0.000 0.000 0.500
Rh: 0.250 0.250 0.250

Results
The total magnetic moment comes out at 0.0 μB per formula unit. The mass density is 10.73 g cm⁻³.

(2)
## Dy4ZnRh2 (PBE-GGA)

Data for crystalline Dy4ZnRh2 at its relaxed geometry.

abc: 4.860 4.860 6.930
angles: 90.00 90.00 90.00
Space group P4/mmm (No. 123)
Inequivalent atoms, fractional coordinates:
Dy: 0.000 0.500 0.247
Zn: 0.000 0.000 0.500
Rh: 0.000 0.000 0.000
Rh: 0.500 0.500 0.500

Results
The total magnetic moment comes out at 0.0 μB per formula unit. The mass density is 9.35 g cm⁻³.

(3)
## DyZnRh (PBE-GGA)

Data for crystalline DyZnRh at its relaxed geometry.

abc: 3.998 3.998 14.443
angles: 90.00 90.00 90.00
Space group I4/mmm (No. 139)
Inequivalent atoms, fractional coordinates:
Dy: 0.000 0.000 0.173
Zn: 0.000 0.500 0.000
Rh: 0.000 0.000 0.380

Results
The total magnetic moment comes out at 0.0 μB per formula unit. The mass density is 9.52 g cm⁻³.

(4)
## Dy6ZnRh2 (PBE-GGA)

Data for crystalline Dy6ZnRh2 at its relaxed geometry.

abc: 9.329 9.469 10.270
angles: 90.00 90.00 90.00
Space group Immm (No. 71)
Inequivalent atoms, fractional coordinates:
Dy: 0.000 0.193 0.240
Dy: 0.194 0.500 0.171
Dy: 0.220 0.322 0.500
Zn: 0.000 0.000 0.000
Zn: 0.000 0.000 0.500
Rh: 0.000 0.330 0.000
Rh: 0.000 0.500 0.368

Results
The total magnetic moment comes out at 0.0 μB per formula unit. The mass density is 9.12 g cm⁻³.

(5)
## DyZn20Rh2 (PBE-GGA)

Data for crystalline DyZn20Rh2 at its relaxed geometry.

abc: 14.211 14.211 14.211
angles: 90.00 90.00 90.00
Space group Fd-3m (No. 227, origin choice 2)
Inequivalent atoms, fractional coordinates:
Dy: 0.125 0.125 0.125
Zn: 0.000 0.000 0.000
Zn: 0.014 0.375 0.875
Zn: 0.060 0.060 0.323
Rh: 0.000 0.000 0.500

Results
The total magnetic moment comes out at 0.0 μB per formula unit. The mass density is 7.76 g cm⁻³.

(6)
## DyZnRh (PBE-GGA)

Data for crystalline DyZnRh at its relaxed geometry.

abc: 3.417 3.417 9.588
angles: 90.00 90.00 90.00
Space group I4mm (No. 107)
Inequivalent atoms, fractional coordinates:
Dy: 0.000 0.000 0.000
Zn: 0.000 0.000 0.697
Rh: 0.000 0.000 0.326

Results
The total magnetic moment comes out at 0.0 μB per formula unit. The mass density is 9.81 g cm⁻³.

(7)
## Dy4Zn3Rh (PBE-GGA)

Data for crystalline Dy4Zn3Rh at its relaxed geometry.

abc: 3.545 3.545 14.032
angles: 90.00 90.00 90.00
Space group P4/mmm (No. 123)
Inequivalent atoms, fractional coordinates:
Dy: 0.000 0.000 0.116
Dy: 0.000 0.000 0.373
Zn: 0.500 0.500 0.247
Zn: 0.500 0.500 0.500
Rh: 0.500 0.500 0.000

Results
The total magnetic moment comes out at 0.0 μB per formula unit. The mass density is 8.94 g cm⁻³.

(8)
## Dy4ZnRh (PBE-GGA)

Data for crystalline Dy4ZnRh at its relaxed geometry.

abc: 13.394 13.394 13.394
angles: 90.00 90.00 90.00
Space group F-43m (No. 216)
Inequivalent atoms, fractional coordinates:
Dy: 0.000 0.000 0.186
Dy: 0.059 0.250 0.750
Dy: 0.104 0.104 0.396
Zn: 0.171 0.171 0.171
Rh: 0.106 0.106 0.606

Results
The total magnetic moment comes out at 0.0 μB per formula unit. The mass density is 9.05 g cm⁻³.

(9)
## Dy3ZnRh (PBE-GGA)

Data for crystalline Dy3ZnRh at its relaxed geometry.

abc: 9.412 6.282 9.335
angles: 90.00 120.27 90.00
Space group C2/m (No. 12)
Inequivalent atoms, fractional coordinates:
Dy: 0.080 0.000 0.294
Dy: 0.196 0.500 0.891
Dy: 0.214 0.500 0.293
Zn: 0.000 0.304 0.500
Rh: 0.000 0.250 0.000

Results
The total magnetic moment comes out at 0.0 μB per formula unit. The mass density is 9.14 g cm⁻³.

(10)
## Dy8ZnRh2 (PBE-GGA)

Data for crystalline Dy8ZnRh2 at its relaxed geometry.

abc: 8.527 13.165 5.503
angles: 90.00 104.86 90.00
Space group Cm (No. 8)
Inequivalent atoms, fractional coordinates:
Dy: 0.000 0.000 0.000
Dy: 0.084 0.373 0.771
Dy: 0.178 0.127 0.610
Dy: 0.262 0.500 0.382
Dy: 0.381 0.240 0.191
Zn: 0.380 0.000 0.201
Rh: 0.381 0.303 0.691

Results
The total magnetic moment comes out at 0.0 μB per formula unit. The mass density is 8.74 g cm⁻³.

(11)
## DyZn3Rh (PBE-GGA)

Data for crystalline DyZn3Rh at its relaxed geometry.

abc: 4.572 4.572 21.994
angles: 90.00 90.00 90.00
Space group I-4m2 (No. 119)
Inequivalent atoms, fractional coordinates:
Dy: 0.000 0.000 0.000
Dy: 0.000 0.500 0.250
Zn: 0.000 0.251 0.124
Zn: 0.000 0.500 0.600
Rh: 0.000 0.000 0.343

Results
The total magnetic moment comes out at 0.0 μB per formula unit. The mass density is 6.67 g cm⁻³.

(12)
## Dy4ZnRh (PBE-GGA)

Data for crystalline Dy4ZnRh at its relaxed geometry.

abc: 6.881 6.882 6.895
angles: 90.00 90.15 90.00
Space group C2/m (No. 12)
Inequivalent atoms, fractional coordinates:
Dy: 0.250 0.250 0.242
Zn: 0.000 0.000 0.500
Rh: 0.000 0.500 0.000

Results
The total magnetic moment comes out at 0.0 μB per formula unit. The mass density is 8.32 g cm⁻³.

(13)
## DyZnRh (PBE-GGA)

Data for crystalline DyZnRh at its relaxed geometry.

abc: 4.3609 4.3609 3.5689
angles: 90.00 90.00 120.00
Space group P-6m2 (No. 187)
Inequivalent atoms, fractional coordinates:
Dy: 0.0000 0.0000 0.0000
Zn: 0.3333 0.6667 0.5000
Rh: 0.6667 0.3333 0.5000

Results
The total magnetic moment comes out at 0.0 μB per formula unit. The mass density is 9.35 g cm⁻³.

(14)
## Dy12ZnRh6 (PBE-GGA)

Data for crystalline Dy12ZnRh6 at its relaxed geometry.

abc: 12.7600 12.7600 10.9661
angles: 90.00 90.00 120.00
Space group R-3 (No. 148, hexagonal axes)
Inequivalent atoms, fractional coordinates:
Dy: 0.0313 0.8196 0.3856
Dy: 0.0388 0.8216 0.8887
Zn: 0.0000 0.0000 0.0000
Rh: 0.0462 0.7852 0.6457

Results
The total magnetic moment comes out at 0.0 μB per formula unit. The mass density is 8.48 g cm⁻³.

(15)
## DyZrRh2 (PBE-GGA)

Data for crystalline DyZrRh2 at its relaxed geometry.

abc: 3.338 3.338 6.862
angles: 90.00 90.00 90.00
Space group P4/mmm (No. 123)
Inequivalent atoms, fractional coordinates:
Dy: 0.000 0.000 0.000
Zr: 0.000 0.000 0.500
Rh: 0.500 0.500 0.272

Results
The total magnetic moment comes out at 0.0 μB per formula unit. The mass density is 9.98 g cm⁻³.

(16)
## Dy2ZrRh4 (PBE-GGA)

Data for crystalline Dy2ZrRh4 at its relaxed geometry.

abc: 4.719 4.719 12.513
angles: 90.00 90.00 90.00
Space group I4/mmm (No. 139)
Inequivalent atoms, fractional coordinates:
Dy: 0.000 0.000 0.230
Zr: 0.000 0.000 0.500
Rh: 0.000 0.500 0.116

Results
The total magnetic moment comes out at 0.0 μB per formula unit. The mass density is 9.87 g cm⁻³.

(17)
## Dy2ZrRh (PBE-GGA)

Data for crystalline Dy2ZrRh at its relaxed geometry.

abc: 3.466 3.466 7.863
angles: 90.00 90.00 90.00
Space group P4/mmm (No. 123)
Inequivalent atoms, fractional coordinates:
Dy: 0.000 0.000 0.210
Zr: 0.500 0.500 0.500
Rh: 0.500 0.500 0.000

Results
The total magnetic moment comes out at 0.0 μB per formula unit. The mass density is 9.13 g cm⁻³.

(18)
## DyZr3Rh6 (PBE-GGA)

Data for crystalline DyZr3Rh6 at its relaxed geometry.

abc: 8.485 4.360 9.611
angles: 90.00 97.36 90.00
Space group P2_1/m (No. 11)
Inequivalent atoms, fractional coordinates:
Dy: 0.059 0.250 0.374
Zr: 0.242 0.250 0.049
Zr: 0.338 0.750 0.821
Zr: 0.436 0.250 0.602
Rh: 0.064 0.750 0.919
Rh: 0.160 0.750 0.208
Rh: 0.166 0.250 0.731
Rh: 0.265 0.750 0.510
Rh: 0.388 0.250 0.315
Rh: 0.467 0.750 0.105

Results
The total magnetic moment comes out at 0.0 μB per formula unit. The mass density is 9.92 g cm⁻³.

(19)
## DyZr2Rh (PBE-GGA)

Data for crystalline DyZr2Rh at its relaxed geometry.

abc: 3.371 3.371 7.753
angles: 90.00 90.00 90.00
Space group P4/mmm (No. 123)
Inequivalent atoms, fractional coordinates:
Dy: 0.000 0.000 0.000
Zr: 0.500 0.500 0.297
Rh: 0.000 0.000 0.500

Results
The total magnetic moment comes out at 0.0 μB per formula unit. The mass density is 8.44 g cm⁻³.

(20)
## DyZr2Rh (PBE-GGA)

Data for crystalline DyZr2Rh at its relaxed geometry.

abc: 3.3542 3.3542 28.2816
angles: 90.00 90.00 120.00
Space group R-3m (No. 166, hexagonal axes)
Inequivalent atoms, fractional coordinates:
Dy: 0.0000 0.0000 0.0000
Zr: 0.0000 0.0000 0.2345
Rh: 0.0000 0.0000 0.5000

Results
The total magnetic moment comes out at 0.0 μB per formula unit. The mass density is 8.10 g cm⁻³.

(21)
## Dy2ZrRh3 (PBE-GGA)

Data for crystalline Dy2ZrRh3 at its relaxed geometry.

abc: 4.7760 4.7760 11.7842
angles: 90.00 90.00 120.00
Space group P-3m1 (No. 164)
Inequivalent atoms, fractional coordinates:
Dy: 0.0000 0.0000 0.0000
Dy: 0.0000 0.0000 0.5000
Dy: 0.3333 0.6667 0.1682
Zr: 0.3333 0.6667 0.6654
Rh: 0.0000 0.0000 0.2597
Rh: 0.3333 0.6667 0.4157
Rh: 0.3333 0.6667 0.9036

Results
The total magnetic moment comes out at 0.0 μB per formula unit. The mass density is 10.34 g cm⁻³.

(22)
## DyZrRh4 (PBE-GGA)

Data for crystalline DyZrRh4 at its relaxed geometry.

abc: 7.462 7.462 7.462
angles: 90.00 90.00 90.00
Space group F-43m (No. 216)
Inequivalent atoms, fractional coordinates:
Dy: 0.000 0.000 0.000
Zr: 0.250 0.250 0.250
Rh: 0.125 0.125 0.625

Results
The total magnetic moment comes out at 0.0 μB per formula unit. The mass density is 10.64 g cm⁻³.

Formation energy in eV per atom, matching the order above: -0.6567 -0.5777 -0.6736 -0.5201 -0.2432 -0.5573 -0.4846 -0.4697 -0.4996 -0.3033 0.0836 -0.2723 -0.6155 -0.5162 -0.8319 -0.5377 -0.3466 -0.7665 -0.2814 -0.1477 -0.8258 -0.6572